(1)
A plane-wave DFT calculation with PBE was carried out for PaGaHg after structural relaxation.

## Properties
ρ ... 10.9 g/cm³
Uncorrected energy ... -0.1414 hartree per atom

abc: 5.385 5.385 3.032
angles: 90.00 90.00 120.00
Site moments in Bohr magnetons follow the coordinates.
Fractional coordinates of all 3 atoms:
Hg  0.333  0.667  0.000  0.01
Ga  0.000  0.000  0.000  0.03
Pa  0.667  0.333  0.000  1.67



(2)
A plane-wave DFT calculation with PBE was carried out for PaGaHg after structural relaxation.

## Properties
ρ ... 10.0 g/cm³
Uncorrected energy ... -0.1431 hartree per atom

abc: 4.902 4.902 4.902
angles: 60.00 60.00 60.00
Fractional coordinates of all 3 atoms:
Pa  0.500  0.500  0.500
Ga  0.750  0.750  0.750
Hg  0.250  0.250  0.250



(3)
A plane-wave DFT calculation with PBE was carried out for GaHgPb2 after structural relaxation.

## Properties
ρ ... 10.2 g/cm³
Uncorrected energy ... -0.0960 hartree per atom

abc: 5.399 5.399 5.399
angles: 60.00 60.00 60.00
Fractional coordinates of all 4 atoms:
Pb  0.000  0.000  0.000
Ga  0.750  0.750  0.750
Pb  0.250  0.250  0.250
Hg  0.500  0.500  0.500



(4)
A plane-wave DFT calculation with PBE was carried out for Ga4Hg2Pd after structural relaxation.

## Properties
ρ ... 9.3 g/cm³
Uncorrected energy ... -0.0949 hartree per atom

abc: 5.730 5.730 4.283
angles: 90.00 90.00 90.00
Fractional coordinates of all 7 atoms:
Pd  0.000  0.000  0.000
Ga  0.253  0.253  0.503
Hg  0.000  0.500  0.000
Ga  0.747  0.747  0.503
Ga  0.747  0.253  0.497
Ga  0.253  0.747  0.497
Hg  0.500  0.000  0.000